VASP calculation (PBE-GGA) on AlCo2HPt after structural relaxation.

Polymorph energy (0 for the lowest one) ... 0 meV/atom
Magnetic moment ... 1.99 μB/cell
Electronic total energy ... -5.774 eV/atom

Cell: 3.6780 3.6780 3.9090 Å, 90.00 90.00 90.00°
Closest atoms and distances in Å follow each position.
Space group P4/mmm (No. 123)
One atom of each set of equivalent atoms:
Al: 0.0000 0.0000 0.0000  4 Pt 2.60, 8 Co 2.68
Co: 0.0000 0.5000 0.5000  2 H 1.84
H: 0.5000 0.5000 0.5000  4 Co 1.84, 2 Pt 1.95
Pt: 0.5000 0.5000 0.0000  2 H 1.95